Arrangement one

Computed, not measured: a relaxed structure of ScAl2Cr at the PBE level of DFT.

Structure (POSCAR):
```
ScAl2Cr
1.0
-2.047 2.047 4.039
2.047 -2.047 4.039
2.047 2.047 -4.039
Sc Al Cr
1 2 1
Direct
0.000 0.000 0.000
0.250 0.750 0.500
0.500 0.500 0.000
0.750 0.250 0.500
```

Results
Space-group type: I-4m2, No. 119


Arrangement two

Computed, not measured: a relaxed structure of ScAl2Cr at the PBE level of DFT.

Structure (POSCAR):
```
ScAl2Cr
1.0
0.000 3.213 3.213
3.213 0.000 3.213
3.213 3.213 0.000
Sc Al Cr
1 2 1
Direct
0.000 0.000 0.000
0.250 0.250 0.250
0.500 0.500 0.500
0.750 0.750 0.750
```

Results
Space-group type: F-43m, No. 216


Arrangement three

Computed, not measured: a relaxed structure of ScAl2Cr at the PBE level of DFT.

Structure (POSCAR):
```
ScAl2Cr
1.0
0.000 3.206 3.206
3.206 0.000 3.206
3.206 3.206 0.000
Sc Al Cr
1 2 1
Direct
0.000 0.000 0.000
0.250 0.250 0.250
0.750 0.750 0.750
0.500 0.500 0.500
```

Results
Space-group type: Fm-3m, No. 225


Arrangement four

Computed, not measured: a relaxed structure of ScAl2Cr at the PBE level of DFT.

Structure (POSCAR):
```
ScAl2Cr
1.0
2.772 -4.107 0.000
2.772 4.107 0.000
-0.007 0.000 2.807
Sc Al Cr
1 2 1
Direct
0.000 0.000 0.000
0.000 0.500 0.500
0.500 0.000 0.500
0.500 0.500 0.000
```

Results
Space-group type: C2/m, No. 12


The most stable of them is arrangement three.


Arrangement one

Computed, not measured: a relaxed structure of ScAl3Cr at the PBE level of DFT.

Structure (POSCAR):
```
ScAl3Cr
1.0
6.229 0.000 0.000
-3.115 5.395 0.000
0.000 0.000 5.172
Sc Al Cr
2 6 2
Direct
0.333 0.667 0.250
0.667 0.333 0.750
0.191 0.383 0.750
0.191 0.809 0.750
0.383 0.191 0.250
0.617 0.809 0.750
0.809 0.191 0.250
0.809 0.617 0.250
0.000 0.000 0.000
0.000 0.000 0.500
```

Results
Space-group type: P6_3/mmc, No. 194


Arrangement two

Computed, not measured: a relaxed structure of ScAl3Cr at the PBE level of DFT.

Structure (POSCAR):
```
ScAl3Cr
1.0
4.571 0.000 0.000
0.000 4.571 0.000
0.000 0.000 4.571
Sc Al Cr
1 3 1
Direct
0.000 0.000 0.000
0.000 0.500 0.500
0.500 0.000 0.500
0.500 0.500 0.000
0.500 0.500 0.500
```

Results
Space-group type: Pm-3m, No. 221


The most stable of them is arrangement one.


Arrangement one

Computed, not measured: a relaxed structure of Al3CrSe at the PBE level of DFT.

Structure (POSCAR):
```
Al3CrSe
1.0
4.942 0.000 0.000
0.000 4.942 0.000
0.000 0.000 4.942
Al Cr Se
3 1 1
Direct
0.000 0.000 0.500
0.000 0.500 0.000
0.500 0.000 0.000
0.500 0.500 0.500
0.000 0.000 0.000
```

Results
Space-group type: Pm-3m, No. 221


Arrangement two

Computed, not measured: a relaxed structure of Al3CrSe at the PBE level of DFT.

Structure (POSCAR):
```
Al3CrSe
1.0
4.871 0.000 0.000
0.000 4.871 0.000
0.000 0.000 4.871
Al Cr Se
3 1 1
Direct
0.000 0.000 0.500
0.000 0.500 0.000
0.500 0.000 0.000
0.000 0.000 0.000
0.500 0.500 0.500
```

Results
Space-group type: Pm-3m, No. 221


The most stable of them is arrangement two.


Arrangement one

Computed, not measured: a relaxed structure of AlCrSe at the PBE level of DFT.

Structure (POSCAR):
```
AlCrSe
1.0
-1.520 1.520 5.090
1.520 -1.520 5.090
1.520 1.520 -5.090
Al Cr Se
1 1 1
Direct
0.000 0.000 0.000
0.659 0.659 0.000
0.280 0.280 0.000
```

Results
Space-group type: I4mm, No. 107


Arrangement two

Computed, not measured: a relaxed structure of AlCrSe at the PBE level of DFT.

Structure (POSCAR):
```
AlCrSe
1.0
2.117 1.222 7.841
-2.117 1.222 7.841
0.000 -2.444 7.841
Al Cr Se
2 2 2
Direct
0.156 0.156 0.156
0.844 0.844 0.844
0.455 0.455 0.455
0.545 0.545 0.545
0.265 0.265 0.265
0.735 0.735 0.735
```

Results
Space-group type: R-3m, No. 166


Arrangement three

Computed, not measured: a relaxed structure of AlCrSe at the PBE level of DFT.

Structure (POSCAR):
```
AlCrSe
1.0
0.000 3.168 3.168
3.168 0.000 3.168
3.168 3.168 0.000
Al Cr Se
1 1 1
Direct
0.000 0.000 0.000
0.500 0.500 0.500
0.250 0.250 0.250
```

Results
Space-group type: F-43m, No. 216


Arrangement four

Computed, not measured: a relaxed structure of AlCrSe at the PBE level of DFT.

Structure (POSCAR):
```
AlCrSe
1.0
0.000 3.111 3.111
3.111 0.000 3.111
3.111 3.111 0.000
Al Cr Se
1 1 1
Direct
0.000 0.000 0.000
0.750 0.750 0.750
0.500 0.500 0.500
```

Results
Space-group type: F-43m, No. 216


The most stable of them is arrangement one.


Arrangement one

Computed, not measured: a relaxed structure of AlCrSe at the PBE level of DFT.

Structure (POSCAR):
```
AlCrSe
1.0
4.196 0.000 0.000
-2.098 3.633 0.000
0.000 0.000 3.254
Al Cr Se
1 1 1
Direct
0.000 0.000 0.000
0.667 0.333 0.500
0.333 0.667 0.500
```

Results
Space-group type: P-6m2, No. 187


Arrangement two

Computed, not measured: a relaxed structure of AlCrSe at the PBE level of DFT.

Structure (POSCAR):
```
AlCrSe
1.0
3.101 0.000 0.000
-1.551 2.686 0.000
0.000 0.000 5.760
Al Cr Se
1 1 1
Direct
0.000 0.000 0.000
0.667 0.333 0.322
0.333 0.667 0.599
```

Results
Space-group type: P3m1, No. 156


The most stable of them is arrangement two.


Arrangement one

Computed, not measured: a relaxed structure of AlCrSn at the PBE level of DFT.

Structure (POSCAR):
```
AlCrSn
1.0
3.002 0.000 0.000
0.000 2.894 6.248
0.000 -2.894 6.248
Al Cr Sn
2 2 2
Direct
0.000 0.000 0.000
0.000 0.463 0.463
0.500 0.044 0.666
0.500 0.666 0.044
0.000 0.223 0.223
0.000 0.685 0.685
```

Results
Space-group type: Amm2, No. 38


Arrangement two

Computed, not measured: a relaxed structure of AlCrSn at the PBE level of DFT.

Structure (POSCAR):
```
AlCrSn
1.0
12.650 -1.482 0.000
12.650 1.482 0.000
-0.001 0.000 2.979
Al Cr Sn
2 2 2
Direct
0.166 0.166 0.250
0.834 0.834 0.750
0.274 0.274 0.250
0.726 0.726 0.750
0.060 0.060 0.754
0.940 0.940 0.246
```

Results
Space-group type: C2/m, No. 12


The most stable of them is arrangement two.